VASP calculation (PBE) on crystalline CePrPa2As4 at its relaxed geometry.

a = 4.167 Å, b = 7.220 Å, c = 7.248 Å
α = 109.38°, β = 90.00°, γ = 90.00°
Last column: magnetic moment on the atom in μB.
Element x y z (fractional)
Ce 0.500 0.500 0.000  0.63
Pr 0.000 0.000 0.000  0.00
Pa 0.500 0.000 0.500  0.26
Pa 0.000 0.500 0.500  0.04
As 0.500 0.257 0.264  0.00
As 0.500 0.743 0.736  0.00
As 0.000 0.248 0.738  -0.01
As 0.000 0.752 0.262  -0.01

Results
ΔE_f ... -1255 meV per atom
DOS at the Fermi energy ... 12.01 states/eV/f.u.
Space group ... No. 10